Record 1
First-principles (PBE) data for a relaxed LaHgB crystal, as listed in the Alexandria database.

Computed properties:
offset from the most stable computed form = 206 meV/atom
SG = P-1 (2)
final energy = -4.16 eV per atom
M_tot = 0.00 μB per cell
energy of formation from the pure elements = -0.191 eV per atom

Cell: 5.3062 4.0587 8.1711 Å, 119.69 110.86 67.56°
Sites, in units of the cell vectors:
Hg 0.2374 0.9027 0.0891
B 0.3523 0.1987 0.4425
La 0.2694 0.9875 0.6900
Hg 0.7750 0.4656 0.9209
La 0.7431 0.3808 0.3200
B 0.6602 0.1695 0.5675



Record 2
First-principles (PBE) data for a relaxed LaHgB crystal, as listed in the Alexandria database.

Computed properties:
offset from the most stable computed form = 377 meV/atom
SG = P1 (1)
final energy = -3.99 eV per atom
M_tot = 0.00 μB per cell
energy of formation from the pure elements = -0.020 eV per atom

Cell: 5.9402 4.5055 7.9154 Å, 55.20 73.51 106.94°
Sites, in units of the cell vectors:
Hg 0.0021 0.5950 0.1683
Hg 0.0016 0.4447 0.8181
La 0.5665 0.6983 0.8222
La 0.4355 0.6152 0.3879
B 0.8693 0.6142 0.4820
B 0.1324 0.0775 0.3513



Record 3
First-principles (PBE) data for a relaxed LaHgB crystal, as listed in the Alexandria database.

Computed properties:
offset from the most stable computed form = 726 meV/atom
SG = Pnma (62)
final energy = -3.64 eV per atom
M_tot = 0.00 μB per cell
energy of formation from the pure elements = 0.330 eV per atom

Cell: 6.2176 6.2947 6.7061 Å, 90.00 90.00 90.00°
Sites, in units of the cell vectors:
La 0.8513 0.2500 0.3399
B 0.5000 0.5000 0.5000
B 0.0000 0.0000 0.0000
B 0.0000 0.5000 0.0000
Hg 0.6973 0.7500 0.3231
Hg 0.8027 0.2500 0.8231
La 0.3513 0.2500 0.1601
Hg 0.3027 0.2500 0.6769
Hg 0.1973 0.7500 0.1769
La 0.6487 0.7500 0.8399
B 0.5000 0.0000 0.5000
La 0.1487 0.7500 0.6601



Record 4
First-principles (PBE) data for a relaxed LaHgB crystal, as listed in the Alexandria database.

Computed properties:
offset from the most stable computed form = 78 meV/atom
SG = P1 (1)
final energy = -4.29 eV per atom
M_tot = 0.00 μB per cell
energy of formation from the pure elements = -0.318 eV per atom

Cell: 3.2193 10.9283 4.2330 Å, 95.31 67.70 81.29°
Sites, in units of the cell vectors:
Hg 0.8114 0.2127 0.0722
La 0.9311 0.4476 0.5980
La 0.6866 0.7787 0.7460
B 0.5280 0.6136 0.2334
Hg 0.2180 0.0137 0.4352
B 0.0886 0.6126 0.1133